[1]
Compound: TaAsP
Source: Alexandria
Functional: PBE-GGA
Structure: optimized geometry

Theoretical density   8.9 Mg/m³
Fermi-level density of states   0.685 states/eV per cell
Distance to the lowest polymorph of the same formula   0.183 eV per atom
DFT formation energy   -247 meV per atom

a b c (Å): 3.2648 3.2648 5.7950
angles (deg): 90.00 90.00 120.00
With the nearest neighbours (Å) after each atom.
Space group P3m1 (No. 156)
Inequivalent atoms, fractional coordinates:
Ta: 0.0000 0.0000 0.0000 x1  3 P 2.49, 3 As 2.69
As: 0.6667 0.3333 0.3302 x1  3 Ta 2.69, 3 P 2.94
P: 0.3333 0.6667 0.7201 x1  3 Ta 2.49


[2]
Compound: Sr7Cu2HgBiSbO15
Source: Alexandria
Functional: PBE-GGA
Structure: optimized geometry

E_form (uncorrected)   -1.950 eV per atom
Theoretical density   6.2 Mg/m³
Fermi-level density of states   8.090 states/eV per cell

a b c (Å): 7.7074 8.9719 11.7460
angles (deg): 90.00 90.00 90.00
With the nearest neighbours (Å) after each atom.
Space group Pmma (No. 51)
Inequivalent atoms, fractional coordinates:
Sr: 0.0000 0.2081 0.0000 x4  9 O 2.62-2.77
Sr: 0.0071 0.2087 0.3419 x8  9 O 2.64-2.92
Sr: 0.2500 0.5000 0.8391 x2  6 O 2.46-2.70
Cu: 0.2500 0.0000 0.1713 x2  4 O 1.88-2.03
Cu: 0.2500 0.0000 0.4980 x2  4 O 1.89-1.94
Hg: 0.2500 0.5000 0.4990 x2  2 O 2.04
Bi: 0.2500 0.5000 0.1684 x2  4 O 2.14
Sb: 0.2500 0.0000 0.8299 x2  6 O 1.96-2.03
O: 0.0000 0.0000 0.5000 x2  2 Cu 1.93
O: 0.0000 0.5000 0.0000 x2  4 Sr 2.62-2.70, 2 Bi 2.76
O: 0.0059 0.0000 0.1687 x4  1 Cu 1.88, 1 Sb 1.97
O: 0.0324 0.5000 0.2817 x4  1 Bi 2.14
O: 0.2500 0.0000 0.3373 x2  2 Cu 1.89-1.95
O: 0.2500 0.0000 0.6628 x2  1 Cu 1.94, 1 Sb 1.96
O: 0.2500 0.0000 0.9985 x2  1 Sb 1.98, 1 Cu 2.03
O: 0.2500 0.2265 0.8308 x4  1 Sb 2.03
O: 0.2500 0.2619 0.1553 x4  1 Bi 2.14, 1 Cu 2.36
O: 0.2500 0.2731 0.5032 x4  1 Hg 2.04


Which of these has the lowest theoretical density? Sr7Cu2HgBiSbO15


What did the second record say?
Compound: Sr7Cu2HgBiSbO15
Source: Alexandria
Functional: PBE-GGA
Structure: optimized geometry

E_form (uncorrected)   -1.950 eV per atom
Theoretical density   6.2 Mg/m³
Fermi-level density of states   8.090 states/eV per cell

a b c (Å): 7.7074 8.9719 11.7460
angles (deg): 90.00 90.00 90.00
With the nearest neighbours (Å) after each atom.
Space group Pmma (No. 51)
Inequivalent atoms, fractional coordinates:
Sr: 0.0000 0.2081 0.0000 x4  9 O 2.62-2.77
Sr: 0.0071 0.2087 0.3419 x8  9 O 2.64-2.92
Sr: 0.2500 0.5000 0.8391 x2  6 O 2.46-2.70
Cu: 0.2500 0.0000 0.1713 x2  4 O 1.88-2.03
Cu: 0.2500 0.0000 0.4980 x2  4 O 1.89-1.94
Hg: 0.2500 0.5000 0.4990 x2  2 O 2.04
Bi: 0.2500 0.5000 0.1684 x2  4 O 2.14
Sb: 0.2500 0.0000 0.8299 x2  6 O 1.96-2.03
O: 0.0000 0.0000 0.5000 x2  2 Cu 1.93
O: 0.0000 0.5000 0.0000 x2  4 Sr 2.62-2.70, 2 Bi 2.76
O: 0.0059 0.0000 0.1687 x4  1 Cu 1.88, 1 Sb 1.97
O: 0.0324 0.5000 0.2817 x4  1 Bi 2.14
O: 0.2500 0.0000 0.3373 x2  2 Cu 1.89-1.95
O: 0.2500 0.0000 0.6628 x2  1 Cu 1.94, 1 Sb 1.96
O: 0.2500 0.0000 0.9985 x2  1 Sb 1.98, 1 Cu 2.03
O: 0.2500 0.2265 0.8308 x4  1 Sb 2.03
O: 0.2500 0.2619 0.1553 x4  1 Bi 2.14, 1 Cu 2.36
O: 0.2500 0.2731 0.5032 x4  1 Hg 2.04


Please write out number 2 again, unchanged.
Compound: Sr7Cu2HgBiSbO15
Source: Alexandria
Functional: PBE-GGA
Structure: optimized geometry

E_form (uncorrected)   -1.950 eV per atom
Theoretical density   6.2 Mg/m³
Fermi-level density of states   8.090 states/eV per cell

a b c (Å): 7.7074 8.9719 11.7460
angles (deg): 90.00 90.00 90.00
With the nearest neighbours (Å) after each atom.
Space group Pmma (No. 51)
Inequivalent atoms, fractional coordinates:
Sr: 0.0000 0.2081 0.0000 x4  9 O 2.62-2.77
Sr: 0.0071 0.2087 0.3419 x8  9 O 2.64-2.92
Sr: 0.2500 0.5000 0.8391 x2  6 O 2.46-2.70
Cu: 0.2500 0.0000 0.1713 x2  4 O 1.88-2.03
Cu: 0.2500 0.0000 0.4980 x2  4 O 1.89-1.94
Hg: 0.2500 0.5000 0.4990 x2  2 O 2.04
Bi: 0.2500 0.5000 0.1684 x2  4 O 2.14
Sb: 0.2500 0.0000 0.8299 x2  6 O 1.96-2.03
O: 0.0000 0.0000 0.5000 x2  2 Cu 1.93
O: 0.0000 0.5000 0.0000 x2  4 Sr 2.62-2.70, 2 Bi 2.76
O: 0.0059 0.0000 0.1687 x4  1 Cu 1.88, 1 Sb 1.97
O: 0.0324 0.5000 0.2817 x4  1 Bi 2.14
O: 0.2500 0.0000 0.3373 x2  2 Cu 1.89-1.95
O: 0.2500 0.0000 0.6628 x2  1 Cu 1.94, 1 Sb 1.96
O: 0.2500 0.0000 0.9985 x2  1 Sb 1.98, 1 Cu 2.03
O: 0.2500 0.2265 0.8308 x4  1 Sb 2.03
O: 0.2500 0.2619 0.1553 x4  1 Bi 2.14, 1 Cu 2.36
O: 0.2500 0.2731 0.5032 x4  1 Hg 2.04


Repeat the first record exactly.
Compound: TaAsP
Source: Alexandria
Functional: PBE-GGA
Structure: optimized geometry

Theoretical density   8.9 Mg/m³
Fermi-level density of states   0.685 states/eV per cell
Distance to the lowest polymorph of the same formula   0.183 eV per atom
DFT formation energy   -247 meV per atom

a b c (Å): 3.2648 3.2648 5.7950
angles (deg): 90.00 90.00 120.00
With the nearest neighbours (Å) after each atom.
Space group P3m1 (No. 156)
Inequivalent atoms, fractional coordinates:
Ta: 0.0000 0.0000 0.0000 x1  3 P 2.49, 3 As 2.69
As: 0.6667 0.3333 0.3302 x1  3 Ta 2.69, 3 P 2.94
P: 0.3333 0.6667 0.7201 x1  3 Ta 2.49